KBNO2 | PBE | relaxed

Magnetization in μB/cell: 5.0
E_form (uncorrected) in kJ/mol of atoms: 230.3
Electronic total energy in eV per atom: -2.82
Space-group type: P4/mmm, No. 123
DOS at the Fermi energy in states/eV per atom: 0.866

Cell: 4.8533 4.8533 5.1333 Å, 90.00 90.00 90.00°
Fractional positions:
1 K 0.0000 0.0000 0.0000
2 B 0.5000 0.5000 0.5000
3 N 0.0000 0.0000 0.5000
4 O 0.0000 0.5000 0.0000
5 O 0.5000 0.0000 0.0000